1.
# CaIn2Ag9

A relaxed CaIn2Ag9 crystal (PBE, the Alexandria database).

Properties
Formation energy from the elements, eV per atom: -0.0661
Total moment, μB per cell: 0.0
Crystal system: trigonal
Raw total energy, eV/cell: -33.9
Volume, Å³/atom: 20.950

a = 5.610 Å, b = 5.610 Å, c = 9.775 Å
α = 73.32°, β = 73.32°, γ = 60.00°
Positions (direct):
In  0.142  0.142  0.573
In  0.858  0.858  0.427
Ag  0.587  0.587  0.745
Ag  0.413  0.413  0.255
Ag  0.919  0.413  0.255
Ag  0.334  0.334  0.999
Ag  0.413  0.919  0.255
Ag  0.666  0.666  0.001
Ag  0.500  0.500  0.500
Ag  0.081  0.587  0.745
Ag  0.587  0.081  0.745
Ca  0.000  0.000  0.000



2.
# Be2SiAg2

A relaxed Be2SiAg2 crystal (PBE, the Alexandria database).

Properties
Total moment, μB per cell: 0.0
Crystal system: tetragonal
Raw total energy, eV/cell: -34.6
Formation energy without anion corrections, eV per atom: 0.26
Volume, Å³/atom: 13.674

a = 5.922 Å, b = 5.922 Å, c = 3.900 Å
α = 90.00°, β = 90.00°, γ = 90.00°
Positions (direct):
Ag  0.335  0.165  0.500
Ag  0.835  0.335  0.500
Ag  0.665  0.835  0.500
Ag  0.165  0.665  0.500
Be  0.635  0.135  0.000
Be  0.865  0.635  0.000
Be  0.135  0.365  0.000
Be  0.365  0.865  0.000
Si  0.000  0.000  0.000
Si  0.500  0.500  0.000



raw total energy of number 2 (Be2SiAg2)?
-34.6 eV/cell



What is the formula in the first record?
CaIn2Ag9



Which value of total moment does entry 2 give?
0.0 μB per cell